[1]
Material: ZnFeI4
Method: DFT, PBE
State: relaxed

The structure in CIF format:
```
data_ZnFeI4
_chemical_formula_sum 'Zn2 Fe2 I8'
_cell_length_a 6.3855
_cell_length_b 6.3855
_cell_length_c 11.7196
_cell_angle_alpha 90.00
_cell_angle_beta 90.00
_cell_angle_gamma 90.00
_space_group_name_H-M_alt 'P -4 2 c'
_space_group_IT_number 112
loop_
_space_group_symop_operation_xyz
'x,y,z'
'y,-x,-z'
'-x,-y,z'
'-y,x,-z'
'x,-y,-z+1/2'
'y,x,z+1/2'
'-x,y,-z+1/2'
'-y,-x,z+1/2'
loop_
_atom_site_label
_atom_site_fract_x
_atom_site_fract_y
_atom_site_fract_z
Zn1 0.0000 0.5000 0.2500
Fe1 0.0000 0.0000 0.0000
I1 0.2376 0.2528 0.3789
```

formation energy (no corrections)	-189	kJ/mol of formula units
ρ	4.37	Mg/m³
N(E_F)	0.84	states/eV/atom
total energy	-2.98	eV/atom

[2]
Material: ZnFeI2
Method: DFT, PBE
State: relaxed

The structure in CIF format:
```
data_ZnFeI2
_chemical_formula_sum 'Zn4 Fe4 I8'
_cell_length_a 7.0974
_cell_length_b 7.0974
_cell_length_c 7.0974
_cell_angle_alpha 90.00
_cell_angle_beta 90.00
_cell_angle_gamma 90.00
_space_group_name_H-M_alt 'F m -3 m'
_space_group_IT_number 225
_space_group_name_Hall '-F 4 2 3'
loop_
_atom_site_label
_atom_site_fract_x
_atom_site_fract_y
_atom_site_fract_z
Zn1 0.0000 0.0000 0.0000
Fe1 0.0000 0.0000 0.5000
I1 0.2500 0.2500 0.2500
```

formation energy (no corrections)	364	kJ/mol of formula units
ρ	6.97	Mg/m³
excess energy over the best structure of this formula in the dataset	709	meV per atom
N(E_F)	1.33	states/eV/atom
total energy	-2.27	eV/atom